1.
Computed, not measured: Cd3In3Ga2 after structural relaxation at the PBE level of DFT.

Cell: 4.5910 4.5603 9.5174 Å, 74.23 80.65 89.63°
Element x y z (fractional)
In: 0.0000 0.0000 0.0000
In: 0.8419 0.3771 0.2660
In: 0.1581 0.6229 0.7340
Ga: 0.2491 0.2542 0.4990
Ga: 0.7509 0.7458 0.5010
Cd: 0.3460 0.8814 0.2664
Cd: 0.5000 0.5000 0.0000
Cd: 0.6540 0.1186 0.7336

Results
As for the space group: P-1 (2). The total magnetic moment is 0.00 μB per cell. The formation energy from the elements is 0.037 eV per atom. The volume is 189.1 Å³/cell. Its energy above the most stable polymorph in this dataset is 0.00 eV per formula unit.

2.
Computed, not measured: Cd2In3Ga2 after structural relaxation at the PBE level of DFT.

Cell: 5.7814 9.3410 12.5141 Å, 90.00 90.00 90.00°
Element x y z (fractional)
In: 0.8791 0.8656 0.8939
In: 0.4117 0.7740 0.7500
In: 0.1209 0.3656 0.6061
In: 0.1209 0.3656 0.8939
In: 0.8791 0.6344 0.1061
In: 0.8791 0.8656 0.6061
In: 0.4117 0.7260 0.2500
In: 0.1209 0.1344 0.3939
In: 0.8791 0.6344 0.3939
In: 0.5883 0.2260 0.2500
In: 0.1209 0.1344 0.1061
In: 0.5883 0.2740 0.7500
Cd: 0.6175 0.9601 0.3955
Cd: 0.6175 0.5399 0.6045
Cd: 0.3825 0.0399 0.6045
Cd: 0.3825 0.4601 0.3955
Cd: 0.3825 0.0399 0.8955
Cd: 0.6175 0.9601 0.1045
Cd: 0.6175 0.5399 0.8955
Cd: 0.3825 0.4601 0.1045
Ga: 0.3136 0.7500 0.0000
Ga: 0.0093 0.1100 0.7500
Ga: 0.9907 0.8900 0.2500
Ga: 0.6864 0.2500 0.5000
Ga: 0.3136 0.7500 0.5000
Ga: 0.9907 0.6100 0.7500
Ga: 0.6864 0.2500 0.0000
Ga: 0.0093 0.3900 0.2500

Results
As for the space group: Pbcm (57). The total magnetic moment is 0.00 μB per cell. The formation energy from the elements is 0.053 eV per atom. The volume is 675.8 Å³/cell.

3.
Computed, not measured: Cd11In17Ga after structural relaxation at the PBE level of DFT.

Cell: 9.9486 9.9486 9.7363 Å, 109.46 109.46 110.02°
Element x y z (fractional)
In: 0.4097 0.4097 0.7193
In: 0.7133 0.4026 0.4023
In: 0.3136 0.0039 0.5926
In: 0.5964 0.3071 0.9991
In: 0.6811 0.6811 0.2791
In: 0.5913 0.9978 0.3103
In: 0.2825 0.6923 0.6898
In: 0.9978 0.5913 0.3103
In: 0.3368 0.0008 0.0016
In: 0.3071 0.5964 0.9991
In: 0.4026 0.7133 0.4023
In: 0.6923 0.2825 0.6898
In: 0.9982 0.9982 0.0001
In: 0.6653 0.6653 0.6602
In: 0.0039 0.3136 0.5926
In: 0.9955 0.9955 0.3448
In: 0.0008 0.3368 0.0016
Cd: 0.8188 0.0057 0.6260
Cd: 0.0057 0.8188 0.6260
Cd: 0.1845 0.3716 0.3717
Cd: 0.1838 0.8124 0.1879
Cd: 0.8124 0.1838 0.1879
Cd: 0.6245 0.8089 0.9985
Cd: 0.3716 0.1845 0.3717
Cd: 0.2011 0.2011 0.8303
Cd: 0.9951 0.6227 0.8042
Cd: 0.8089 0.6245 0.9985
Cd: 0.6227 0.9951 0.8042
Ga: 0.3829 0.3829 0.1978

Results
As for the space group: Cm (8). The total magnetic moment is 0.00 μB per cell. The formation energy from the elements is 0.024 eV per atom. The volume is 737.0 Å³/cell.

4.
Computed, not measured: Cd5In3Ga12 after structural relaxation at the PBE level of DFT.

Cell: 13.9256 13.9256 13.9256 Å, 109.47 109.47 109.47°
Element x y z (fractional)
In: 0.8750 0.7500 0.1250
In: 0.7500 0.3750 0.1250
In: 0.2500 0.6250 0.8750
In: 0.3750 0.7500 0.6250
In: 0.6250 0.3750 0.7500
In: 0.8750 0.1250 0.2500
In: 0.1250 0.2500 0.8750
In: 0.2500 0.1250 0.3750
In: 0.3750 0.6250 0.2500
In: 0.6250 0.2500 0.3750
In: 0.1250 0.8750 0.7500
In: 0.7500 0.8750 0.6250
Ga: 0.9324 0.5742 0.1641
Ga: 0.4324 0.7683 0.8583
Ga: 0.5899 0.8583 0.4258
Ga: 0.8359 0.9101 0.2683
Ga: 0.1417 0.4101 0.0742
Ga: 0.3583 0.9324 0.7683
Ga: 0.4258 0.0676 0.3359
Ga: 0.9101 0.0742 0.6417
Ga: 0.6417 0.0676 0.2317
Ga: 0.1417 0.7317 0.5676
Ga: 0.5676 0.3359 0.9258
Ga: 0.0899 0.1641 0.2317
Ga: 0.8583 0.2683 0.4324
Ga: 0.5676 0.2317 0.1417
Ga: 0.3359 0.5676 0.4258
Ga: 0.0676 0.4258 0.8359
Ga: 0.6641 0.2317 0.5899
Ga: 0.8583 0.5899 0.9258
Ga: 0.4258 0.3583 0.5899
Ga: 0.2683 0.4101 0.8359
Ga: 0.9258 0.8359 0.5676
Ga: 0.5742 0.6417 0.4101
Ga: 0.2317 0.6641 0.0899
Ga: 0.0899 0.9258 0.3583
Ga: 0.6641 0.4324 0.5742
Ga: 0.6417 0.5742 0.9101
Ga: 0.3583 0.4258 0.0899
Ga: 0.0742 0.9101 0.1417
Ga: 0.1641 0.0899 0.7317
Ga: 0.2683 0.8583 0.9324
Ga: 0.4101 0.2683 0.3359
Ga: 0.1641 0.0742 0.9324
Ga: 0.0742 0.1641 0.4324
Ga: 0.4324 0.6641 0.0742
Ga: 0.7317 0.1417 0.0676
Ga: 0.0676 0.6417 0.7317
Ga: 0.5742 0.9324 0.6641
Ga: 0.9258 0.0899 0.8583
Ga: 0.7683 0.3359 0.9101
Ga: 0.4101 0.1417 0.5742
Ga: 0.2317 0.5676 0.6417
Ga: 0.5899 0.7317 0.6641
Ga: 0.9324 0.3583 0.2683
Ga: 0.7683 0.4324 0.3583
Ga: 0.8359 0.9258 0.0676
Ga: 0.7317 0.5899 0.1641
Ga: 0.9101 0.8359 0.7683
Ga: 0.3359 0.7683 0.4101
Cd: 0.8750 0.6250 0.7500
Cd: 0.7500 0.6250 0.3750
Cd: 0.5000 0.0000 0.5000
Cd: 0.8750 0.2500 0.6250
Cd: 0.1250 0.7500 0.3750
Cd: 0.0000 0.0000 0.5000
Cd: 0.5000 0.0000 0.0000
Cd: 0.3750 0.2500 0.1250
Cd: 0.2500 0.3750 0.6250
Cd: 0.3750 0.1250 0.7500
Cd: 0.0000 0.5000 0.5000
Cd: 0.7500 0.1250 0.8750
Cd: 0.1250 0.3750 0.2500
Cd: 0.5000 0.5000 0.5000
Cd: 0.5000 0.5000 0.0000
Cd: 0.0000 0.0000 0.0000
Cd: 0.6250 0.8750 0.2500
Cd: 0.6250 0.7500 0.8750
Cd: 0.2500 0.8750 0.1250
Cd: 0.0000 0.5000 0.0000

Results
As for the space group: Ia-3d (230). The total magnetic moment is 0.00 μB per cell. The formation energy from the elements is 0.202 eV per atom. The volume is 2078.8 Å³/cell.

5.
Computed, not measured: CdIn8Ga5 after structural relaxation at the PBE level of DFT.

Cell: 7.6734 7.6734 7.6734 Å, 109.40 109.40 109.61°
Element x y z (fractional)
Ga: 0.0278 0.1247 0.3464
Ga: 0.3186 0.9722 0.0969
Ga: 0.5000 0.5000 0.0000
Ga: 0.7783 0.6814 0.6536
Ga: 0.8753 0.2217 0.9031
In: 0.5059 0.2445 0.5988
In: 0.6011 0.8598 0.9190
In: 0.9408 0.6821 0.0810
In: 0.1402 0.0592 0.7413
In: 0.0929 0.4941 0.7385
In: 0.7555 0.3543 0.2615
In: 0.3179 0.3989 0.2587
In: 0.6457 0.9071 0.4012
Cd: 0.2500 0.7500 0.5000

Results
As for the space group: I-4 (82). The total magnetic moment is 0.00 μB per cell. The formation energy from the elements is 0.068 eV per atom. The volume is 347.8 Å³/cell.

6.
Computed, not measured: CdIn2Ga6 after structural relaxation at the PBE level of DFT.

Cell: 6.4493 5.9046 5.9046 Å, 60.03 90.21 90.21°
Element x y z (fractional)
Ga: 0.6608 0.1786 0.1786
Ga: 0.6583 0.1780 0.6432
Ga: 0.3392 0.8214 0.8214
Ga: 0.3417 0.8220 0.3568
Ga: 0.6583 0.6432 0.1780
Ga: 0.3417 0.3568 0.8220
In: 0.8678 0.6668 0.6668
In: 0.1322 0.3332 0.3332
Cd: 0.0000 0.0000 0.0000

Results
As for the space group: C2/m (12). The total magnetic moment is 0.00 μB per cell. The formation energy from the elements is 0.035 eV per atom. The volume is 194.8 Å³/cell. Its energy above the most stable polymorph in this dataset is 0.00 eV per formula unit.

7.
Computed, not measured: Cd6InGa4 after structural relaxation at the PBE level of DFT.

Cell: 8.0914 8.0914 8.0914 Å, 65.82 134.82 134.82°
Element x y z (fractional)
Ga: 0.5140 0.9040 0.9040
Ga: 0.4860 0.3899 0.3899
Ga: 0.0000 0.6101 0.0960
Ga: 0.0000 0.0960 0.6101
In: 0.0000 0.0000 0.0000
Cd: 0.5000 0.0000 0.5000
Cd: 0.5945 0.1441 0.1441
Cd: 0.4055 0.5496 0.5496
Cd: 0.0000 0.4504 0.8559
Cd: 0.5000 0.5000 0.0000
Cd: 0.0000 0.8559 0.4504

Results
As for the space group: I-42m (121). The total magnetic moment is 0.00 μB per cell. The formation energy from the elements is 0.107 eV per atom. The volume is 262.6 Å³/cell.

8.
Computed, not measured: Cd12InGa6 after structural relaxation at the PBE level of DFT.

Cell: 8.1687 8.1687 8.1687 Å, 107.49 107.49 107.49°
Element x y z (fractional)
Ga: 0.6932 0.6932 0.2996
Ga: 0.3068 0.7004 0.3068
Ga: 0.7004 0.3068 0.3068
Ga: 0.3068 0.3068 0.7004
Ga: 0.6932 0.2996 0.6932
Ga: 0.2996 0.6932 0.6932
Cd: 0.1105 0.3522 0.3522
Cd: 0.3522 0.1105 0.3522
Cd: 0.8895 0.6478 0.6478
Cd: 0.8853 0.5000 0.1147
Cd: 0.6478 0.8895 0.6478
Cd: 0.1147 0.5000 0.8853
Cd: 0.5000 0.1147 0.8853
Cd: 0.8853 0.1147 0.5000
Cd: 0.6478 0.6478 0.8895
Cd: 0.1147 0.8853 0.5000
Cd: 0.3522 0.3522 0.1105
Cd: 0.5000 0.8853 0.1147
In: 0.0000 0.0000 0.0000

Results
As for the space group: R-3m (166). The total magnetic moment is 0.00 μB per cell. The formation energy from the elements is 0.089 eV per atom. The volume is 447.7 Å³/cell.